No. 1
## HfSb2TeF (GGA-PBE)

Data for a relaxed structure of HfSb2TeF.

The calculated volume is 32.48 Å³ per atom. As for the density: 5.81 Mg/m³. The energy above the most stable polymorph in this dataset comes out at 3.9 meV per atom.

a b c (Å): 5.484 5.484 5.401
angles (deg): 90.00 90.00 90.00
Sites, in units of the cell vectors:
Hf  0.000  0.000  0.000
Sb  0.000  0.500  0.000
Sb  0.500  0.000  0.000
Te  0.000  0.000  0.500
F  0.500  0.500  0.500

---

No. 2
## HfSb2TeF (GGA-PBE)

Data for a relaxed structure of HfSb2TeF.

The calculated volume is 23.48 Å³ per atom. As for the density: 8.04 Mg/m³. The energy above the most stable polymorph in this dataset comes out at 0.0 meV per atom.

a b c (Å): 4.634 4.634 5.468
angles (deg): 90.00 90.00 90.00
Sites, in units of the cell vectors:
Hf  0.000  0.000  0.000
Sb  0.000  0.500  0.500
Sb  0.500  0.000  0.500
Te  0.500  0.500  0.000
F  0.500  0.500  0.500

---

No. 3
## HfTlSbF2 (GGA-PBE)

Data for a relaxed structure of HfTlSbF2.

The calculated volume is 24.01 Å³ per atom. The calculation puts the raw total energy at -4.70 eV per atom. As for the density: 7.51 Mg/m³.

a b c (Å): 4.333 4.333 6.394
angles (deg): 90.00 90.00 90.00
Sites, in units of the cell vectors:
Hf  0.000  0.000  0.000
Tl  0.000  0.000  0.500
Sb  0.500  0.500  0.000
F  0.000  0.500  0.500
F  0.500  0.000  0.500